Entry 1:
Computed, not measured: a relaxed structure of RbSnHg2H at the PBE-GGA level of DFT.

The calculation puts the size of the total moment at 0.00 Bohr magnetons per cell. For the calculated density, the calculation gives 7.9 Mg/m³. The uncorrected energy comes out at -1.538 eV/atom. The calculation puts the density of states at the Fermi level at 0.565 states/eV per atom.

The space group is P4/mmm (No. 123) and the conventional cell measures 5.101, 5.101 and 4.869 Å, with angles of 90.00, 90.00 and 90.00 degrees. The asymmetric unit holds Rb at (0.000, 0.000, 0.000), Sn at (0.500, 0.500, 0.000), Hg at (0.000, 0.500, 0.500) and H at (0.000, 0.000, 0.500).

***

Entry 2:
Computed, not measured: a relaxed structure of Sm2DyHo4 at the PBE-GGA level of DFT.

The calculation puts the size of the total moment at 0.00 Bohr magnetons per cell. For the calculated density, the calculation gives 8.3 Mg/m³. The uncorrected energy comes out at -4.574 eV/atom. The formation enthalpy at 0 K comes out at 0.048 eV/atom. The calculation puts the density of states at the Fermi level at 1.562 states/eV per atom.

The space group is C2/m (No. 12) and the conventional cell measures 16.773, 3.533 and 8.735 Å, with angles of 90.00, 119.99 and 90.00 degrees. The asymmetric unit holds Sm at (0.070, 0.000, 0.430), Dy at (0.000, 0.000, 0.000), Ho at (0.145, 0.500, 0.843) and Ho at (0.204, 0.500, 0.293).

***

We obtain offset from the most stable computed form values of 0.195 0.000 eV/atom for the records listed above, in that order.